Entry from Alexandria via LeMat-Bulk: AlZn3Ag4 after structural relaxation (PBE-GGA).

a = 18.2472 Å, b = 4.7258 Å, c = 3.1120 Å
α = 90.00°, β = 99.71°, γ = 90.00°
With the nearest neighbours (Å) after each atom.
Space group C2/m (No. 12)
Symmetry-distinct sites (fractional):
Al 0.0000 0.0000 0.0000 x2  4 Ag 2.73-2.74, 4 Zn 2.83
Zn 0.0000 0.5000 0.5000 x2  4 Ag 2.73-2.74, 4 Al 2.83
Zn 0.2503 0.0000 0.2505 x4  4 Ag 2.72-2.74, 4 Zn 2.83
Ag 0.1248 0.0000 0.6253 x4  2 Al 2.73-2.74, 2 Zn 2.74, 4 Ag 2.83
Ag 0.1252 0.5000 0.1255 x4  4 Zn 2.72-2.74, 4 Ag 2.83

electronic total energy: -2.367 eV/atom
M_tot: 0.0000 μB per atom
distance to the lowest polymorph of the same formula: 33.4 meV per atom
energy of formation: 0.004 eV per atom